Record 1
DFT (GGA-PBE) results for crystalline Li15Hg4Pd at its relaxed geometry.

Cell: 4.021 4.021 21.089 Å, 90.00 90.00 90.00°
Element x y z (fractional)
Li  0.000  0.000  0.000
Li  0.000  0.000  0.194
Li  0.000  0.000  0.398
Li  0.000  0.000  0.602
Li  0.000  0.000  0.806
Li  0.000  0.500  0.091
Li  0.000  0.500  0.296
Li  0.000  0.500  0.500
Li  0.000  0.500  0.704
Li  0.000  0.500  0.909
Li  0.500  0.000  0.091
Li  0.500  0.000  0.296
Li  0.500  0.000  0.500
Li  0.500  0.000  0.704
Li  0.500  0.000  0.909
Hg  0.500  0.500  0.192
Hg  0.500  0.500  0.398
Hg  0.500  0.500  0.602
Hg  0.500  0.500  0.808
Pd  0.500  0.500  0.000

## Properties
ΔH_f (0 K) = -262 meV per atom



Record 2
DFT (GGA-PBE) results for crystalline B5C3 at its relaxed geometry.

Cell: 4.502 4.502 5.085 Å, 96.01 96.01 31.31°
Element x y z (fractional)
B  0.000  0.000  0.000
B  0.023  0.023  0.684
B  0.208  0.208  0.959
B  0.447  0.447  0.232
B  0.812  0.812  0.758
C  0.268  0.268  0.283
C  0.561  0.561  0.501
C  0.730  0.730  0.440

## Properties
ΔH_f (0 K) = 364 meV per atom
Energy above the lowest structure with this stoichiometry = 95 meV per atom



Record 3
DFT (GGA-PBE) results for crystalline Pa5Pb at its relaxed geometry.

Cell: 7.571 7.571 4.503 Å, 90.00 90.00 143.83°
Element x y z (fractional)
Pa  0.000  0.000  0.000
Pa  0.165  0.835  0.500
Pa  0.333  0.667  0.000
Pa  0.667  0.333  0.000
Pa  0.835  0.165  0.500
Pb  0.500  0.500  0.500

## Properties
ΔH_f (0 K) = 48 meV per atom
Energy above the lowest structure with this stoichiometry = 0 meV per atom